Density functional theory data (PBE with a Hubbard U) for crystalline NiHgF3 at its relaxed geometry.

```
NiHgF3
1.0
4.524 0.000 0.000
0.000 4.524 0.000
0.000 0.000 4.524
Ni Hg F
1 1 3
direct
0.500 0.500 0.500 Ni
0.000 0.000 0.000 Hg
0.000 0.500 0.000 F
0.000 0.000 0.500 F
0.500 0.000 0.000 F
```

## Properties
Energy above the lowest structure with this stoichiometry (meV per atom): 1094
Space group: Pm-3m (221)
Energy (eV per formula unit): -10.89